Arrangement i

Here is crystalline Dy5CoSb2 at its relaxed geometry from Alexandria. Energies are from PBE-GGA.

Calculated values
For the density, the calculation gives 8685 kg/m3. The calculation puts the density of states at the Fermi level at 0.67 states/eV per atom.

Lattice parameters (Å, degrees): 5.773 5.510 15.734 90.00 90.00 121.59
Atoms (fractional coordinates):
Sb (0.725, 0.450, 0.058)
Sb (0.275, 0.550, 0.558)
Sb (0.725, 0.450, 0.442)
Sb (0.275, 0.550, 0.942)
Dy (0.068, 0.137, 0.398)
Dy (0.401, 0.801, 0.136)
Dy (0.745, 0.489, 0.250)
Dy (0.599, 0.199, 0.864)
Dy (0.068, 0.137, 0.102)
Dy (0.932, 0.863, 0.898)
Dy (0.932, 0.863, 0.602)
Dy (0.255, 0.511, 0.750)
Dy (0.401, 0.801, 0.364)
Dy (0.599, 0.199, 0.636)
Co (0.824, 0.648, 0.750)
Co (0.176, 0.352, 0.250)

***

Arrangement ii

Here is crystalline Dy5CoSb2 at its relaxed geometry from Alexandria. Energies are from PBE-GGA.

Calculated values
For the density, the calculation gives 8776 kg/m3. The calculation puts the density of states at the Fermi level at 0.64 states/eV per atom.

Lattice parameters (Å, degrees): 7.902 8.748 12.207 90.00 90.00 90.00
Atoms (fractional coordinates):
Dy (0.454, 0.750, 0.998)
Dy (0.954, 0.250, 0.502)
Dy (0.322, 0.036, 0.435)
Dy (0.322, 0.464, 0.435)
Dy (0.878, 0.750, 0.807)
Dy (0.122, 0.250, 0.193)
Dy (0.178, 0.464, 0.935)
Dy (0.346, 0.750, 0.703)
Dy (0.846, 0.250, 0.797)
Dy (0.678, 0.964, 0.565)
Dy (0.822, 0.964, 0.065)
Dy (0.678, 0.536, 0.565)
Dy (0.546, 0.250, 0.002)
Dy (0.822, 0.536, 0.065)
Dy (0.178, 0.036, 0.935)
Dy (0.654, 0.250, 0.297)
Dy (0.046, 0.750, 0.498)
Dy (0.378, 0.250, 0.693)
Dy (0.622, 0.750, 0.307)
Dy (0.154, 0.750, 0.203)
Sb (0.571, 0.508, 0.827)
Sb (0.929, 0.508, 0.327)
Sb (0.429, 0.492, 0.173)
Sb (0.929, 0.992, 0.327)
Sb (0.429, 0.008, 0.173)
Sb (0.071, 0.008, 0.673)
Sb (0.571, 0.992, 0.827)
Sb (0.071, 0.492, 0.673)
Co (0.432, 0.750, 0.490)
Co (0.568, 0.250, 0.510)
Co (0.068, 0.750, 0.990)
Co (0.932, 0.250, 0.010)

***

Which structure is most stable, and how do the rest compare? From most to least stable: arrangement ii, arrangement i.